No. 1
# CeYSb2

An optimized crystal structure of CeYSb2 (PBE-GGA, the Alexandria database).

a b c (Å): 4.4454 4.4454 21.7661
angles (deg): 90.00 90.00 120.00
Space group R-3m (No. 166, hexagonal axes)
One atom of each set of equivalent atoms:
Ce1 0.0000 0.0000 0.0000 x3
Y1 0.0000 0.0000 0.5000 x3
Sb1 0.0000 0.0000 0.2481 x6

Calculated values
- energy above the lowest structure with this stoichiometry (meV/atom) = 0
- crystal system = trigonal

No. 2
# Te2Pd2Pb

An optimized crystal structure of Te2Pd2Pb (PBE-GGA, the Alexandria database).

a b c (Å): 4.0651 4.0651 15.0409
angles (deg): 90.00 90.00 90.00
Space group I4/mmm (No. 139)
One atom of each set of equivalent atoms:
Te1 0.0000 0.0000 0.1287 x4
Pd1 0.0000 0.5000 0.2500 x4
Pb1 0.0000 0.0000 0.5000 x2

Calculated values
- energy above the lowest structure with this stoichiometry (meV/atom) = 0
- crystal system = tetragonal

No. 3
# Y3ScSi

An optimized crystal structure of Y3ScSi (PBE-GGA, the Alexandria database).

a b c (Å): 5.4430 5.4430 5.4430
angles (deg): 90.00 90.00 90.00
Space group Pm-3m (No. 221)
One atom of each set of equivalent atoms:
Y1 0.0000 0.0000 0.5000 x3
Sc1 0.5000 0.5000 0.5000 x1
Si1 0.0000 0.0000 0.0000 x1

Calculated values
- energy above the lowest structure with this stoichiometry (meV/atom) = 0
- crystal system = cubic

No. 4
# EuErGaHg

An optimized crystal structure of EuErGaHg (PBE-GGA, the Alexandria database).

a b c (Å): 7.4504 7.4504 7.4504
angles (deg): 90.00 90.00 90.00
Space group F-43m (No. 216)
One atom of each set of equivalent atoms:
Eu1 0.0000 0.0000 0.0000 x4
Er1 0.0000 0.0000 0.5000 x4
Ga1 0.2500 0.2500 0.2500 x4
Hg1 0.2500 0.2500 0.7500 x4

Calculated values
- calculated formation energy (eV/atom) = -0.48
- crystal system = cubic

| no. | calculated volume (Å³ per atom) |
| --- | --- |
| 1 | 31.042 |
| 2 | 24.855 |
| 3 | 32.250 |
| 4 | 25.848 |